# 1
A plane-wave DFT calculation with PBE was carried out for crystalline TbLuTe3Pb at its relaxed geometry.

Computed properties:
space-group type = Cmcm
volume = 390.4 Å³/cell
offset from the most stable computed form = 35.9 meV per atom
electronic total energy = -0.33390 Ry/atom

abc: 7.9401 7.9401 11.8101
angles: 90.00 90.00 148.38
Closest atoms and distances in Å follow each position.
Fractional positions:
1 Pb 0.7743 0.2257 0.2500  2 Tb 3.36, 6 Te 3.70
2 Pb 0.2257 0.7743 0.7500  2 Tb 3.36, 6 Te 3.70
3 Lu 0.0000 0.0000 0.0000  6 Te 3.06-3.18
4 Lu 0.0000 0.0000 0.5000  6 Te 3.06-3.18
5 Te 0.9220 0.0780 0.7500  2 Tb 3.00, 2 Lu 3.18
6 Te 0.3588 0.6412 0.4795  1 Tb 3.00, 2 Lu 3.06
7 Te 0.6412 0.3588 0.9795  1 Tb 3.00, 2 Lu 3.06
8 Te 0.3588 0.6412 0.0205  1 Tb 3.00, 2 Lu 3.06
9 Te 0.6412 0.3588 0.5205  1 Tb 3.00, 2 Lu 3.06
10 Te 0.0780 0.9220 0.2500  2 Tb 3.00, 2 Lu 3.18
11 Tb 0.5576 0.4424 0.7500  4 Te 3.00
12 Tb 0.4424 0.5576 0.2500  4 Te 3.00



# 2
A plane-wave DFT calculation with PBE was carried out for crystalline TbLuTe3Pb at its relaxed geometry.

Computed properties:
space-group type = Cmcm
volume = 396.3 Å³/cell
offset from the most stable computed form = 0.0 meV per atom
electronic total energy = -0.33654 Ry/atom

abc: 7.9695 7.9695 11.8424
angles: 90.00 90.00 148.21
Closest atoms and distances in Å follow each position.
Fractional positions:
1 Lu 0.9584 0.0416 0.7500  4 Te 2.94
2 Lu 0.0416 0.9584 0.2500  4 Te 2.94
3 Pb 0.7097 0.2903 0.2500  2 Lu 3.38, 4 Te 3.47
4 Pb 0.2903 0.7097 0.7500  2 Lu 3.38, 4 Te 3.47
5 Te 0.8573 0.1427 0.9610  1 Lu 2.94, 2 Tb 3.12
6 Te 0.5867 0.4133 0.7500  2 Lu 2.94, 2 Tb 3.25
7 Te 0.1427 0.8573 0.0390  1 Lu 2.94, 2 Tb 3.12
8 Te 0.8573 0.1427 0.5390  1 Lu 2.94, 2 Tb 3.12
9 Te 0.1427 0.8573 0.4610  1 Lu 2.94, 2 Tb 3.12
10 Te 0.4133 0.5867 0.2500  2 Lu 2.94, 2 Tb 3.25
11 Tb 0.5000 0.5000 0.0000  6 Te 3.12-3.25
12 Tb 0.5000 0.5000 0.5000  6 Te 3.12-3.25